[1]
Compound: BeIr
Source: Alexandria via LeMat-Bulk
Functional: GGA-PBEsol
Structure: optimized geometry

The energy of formation is -0.86 eV per formula unit.

The space group is P-6m2 (No. 187) and the conventional cell measures 2.7253, 2.7253 and 3.5134 Å, with angles of 90.00, 90.00 and 120.00 degrees. Symmetry generates all atoms from Be at (0.0000, 0.0000, 0.0000) and Ir at (0.6667, 0.3333, 0.5000).

[2]
Compound: Cr3BI
Source: Alexandria via LeMat-Bulk
Functional: GGA-PBEsol
Structure: optimized geometry

The value obtained for the uncorrected formation energy is 0.72 eV per atom. As for the energy above the most stable polymorph in this dataset: 0.0 meV per atom.

The space group is Pm-3m (No. 221) and the conventional cell measures 4.008, 4.008 and 4.008 Å, with angles of 90.00, 90.00 and 90.00 degrees. Symmetry generates all atoms from Cr at (0.000, 0.000, 0.500), B at (0.000, 0.000, 0.000) and I at (0.500, 0.500, 0.500).

[3]
Compound: UBr4
Source: Alexandria via LeMat-Bulk
Functional: GGA-PBEsol
Structure: optimized geometry

The value obtained for the uncorrected formation energy is -1.18 eV per atom.

The space group is C2/m (No. 12) and the conventional cell measures 10.922, 8.704 and 7.281 Å, with angles of 90.00, 93.54 and 90.00 degrees. Symmetry generates all atoms from U at (0.196, 0.000, 0.441), Br at (0.050, 0.000, 0.744), Br at (0.136, 0.310, 0.346) and Br at (0.173, 0.500, 0.851).

[4]
Compound: Ho2As7Rh12
Source: Alexandria via LeMat-Bulk
Functional: GGA-PBEsol
Structure: optimized geometry

The energy of formation is -15.01 eV per formula unit.

The space group is P-3 (No. 147) and the conventional cell measures 9.8326, 9.8326 and 3.8544 Å, with angles of 90.00, 90.00 and 120.00 degrees. Symmetry generates all atoms from Ho at (0.3333, 0.6667, 0.2535), As at (0.0000, 0.0000, 0.0000), As at (0.1187, 0.7120, 0.7505), Rh at (0.0656, 0.4469, 0.7511) and Rh at (0.1145, 0.2635, 0.2555).

[5]
Compound: Sm2Ga3Cu
Source: Alexandria via LeMat-Bulk
Functional: GGA-PBEsol
Structure: optimized geometry

The energy of formation is -3.67 eV per formula unit. As for the energy above the most stable polymorph in this dataset: 5.6 meV per atom.

The space group is Pmm2 (No. 25) and the conventional cell measures 3.666, 4.340 and 7.536 Å, with angles of 90.00, 90.00 and 90.00 degrees. Symmetry generates all atoms from Sm at (0.000, 0.000, 0.000), Sm at (0.000, 0.500, 0.491), Ga at (0.500, 0.000, 0.653), Ga at (0.500, 0.500, 0.170), Ga at (0.500, 0.500, 0.831) and Cu at (0.500, 0.000, 0.326).

[6]
Compound: RbAl2MoPb
Source: Alexandria via LeMat-Bulk
Functional: GGA-PBEsol
Structure: optimized geometry

The energy of formation is 11.26 eV per formula unit.

The space group is P4/mmm (No. 123) and the conventional cell measures 5.458, 5.458 and 4.940 Å, with angles of 90.00, 90.00 and 90.00 degrees. Symmetry generates all atoms from Rb at (0.000, 0.000, 0.000), Al at (0.000, 0.500, 0.000), Mo at (0.000, 0.000, 0.500) and Pb at (0.500, 0.500, 0.500).

[7]
Compound: AlIn2Cl
Source: Alexandria via LeMat-Bulk
Functional: GGA-PBEsol
Structure: optimized geometry

The value obtained for the uncorrected formation energy is -0.24 eV per atom. As for the energy above the most stable polymorph in this dataset: 0.0 meV per atom.

The space group is Pmmm (No. 47) and the conventional cell measures 3.293, 4.960 and 5.664 Å, with angles of 90.00, 90.00 and 90.00 degrees. Symmetry generates all atoms from Al at (0.000, 0.000, 0.000), In at (0.000, 0.000, 0.500), In at (0.500, 0.500, 0.000) and Cl at (0.500, 0.500, 0.500).

[8]
Compound: Ag2MoW
Source: Alexandria via LeMat-Bulk
Functional: GGA-PBEsol
Structure: optimized geometry

The energy of formation is 2.26 eV per formula unit. As for the energy above the most stable polymorph in this dataset: 0.0 meV per atom.

The space group is I4/mmm (No. 139) and the conventional cell measures 3.745, 3.745 and 8.964 Å, with angles of 90.00, 90.00 and 90.00 degrees. Symmetry generates all atoms from Ag at (0.000, 0.500, 0.250), Mo at (0.000, 0.000, 0.000) and W at (0.000, 0.000, 0.500).

[9]
Compound: YHg
Source: Alexandria via LeMat-Bulk
Functional: GGA-PBEsol
Structure: optimized geometry

The energy of formation is -1.22 eV per formula unit.

The space group is Pm-3m (No. 221) and the conventional cell measures 3.661, 3.661 and 3.661 Å, with angles of 90.00, 90.00 and 90.00 degrees. Symmetry generates all atoms from Y at (0.000, 0.000, 0.000) and Hg at (0.500, 0.500, 0.500).

[10]
Compound: Ni5Ir
Source: Alexandria via LeMat-Bulk
Functional: GGA-PBEsol
Structure: optimized geometry

The energy of formation is 0.25 eV per formula unit. As for the energy above the most stable polymorph in this dataset: 15.2 meV per atom.

The space group is Cm (No. 8) and the conventional cell measures 9.207, 2.546 and 5.920 Å, with angles of 90.00, 105.51 and 90.00 degrees. Symmetry generates all atoms from Ni at (0.000, 0.000, 0.000), Ni at (0.052, 0.000, 0.599), Ni at (0.164, 0.500, 0.322), Ni at (0.218, 0.500, 0.941), Ni at (0.386, 0.000, 0.265) and Ir at (0.332, 0.000, 0.662).

[11]
Compound: PPdWCl2
Source: Alexandria via LeMat-Bulk
Functional: GGA-PBEsol
Structure: optimized geometry

The value obtained for the uncorrected formation energy is 0.52 eV per atom. As for the energy above the most stable polymorph in this dataset: 0.0 meV per atom.

The space group is P4/mmm (No. 123) and the conventional cell measures 4.594, 4.594 and 4.782 Å, with angles of 90.00, 90.00 and 90.00 degrees. Symmetry generates all atoms from P at (0.000, 0.000, 0.000), Pd at (0.500, 0.500, 0.000), W at (0.000, 0.000, 0.500) and Cl at (0.000, 0.500, 0.500).

[12]
Compound: BeBiH2Cl
Source: Alexandria via LeMat-Bulk
Functional: GGA-PBEsol
Structure: optimized geometry

The calculation puts the total energy at -3.139 eV per atom.

The space group is P4/mmm (No. 123) and the conventional cell measures 3.927, 3.927 and 5.080 Å, with angles of 90.00, 90.00 and 90.00 degrees. Symmetry generates all atoms from Be at (0.000, 0.000, 0.000), Bi at (0.000, 0.000, 0.500), H at (0.000, 0.500, 0.500) and Cl at (0.500, 0.500, 0.000).